Record 1
# Ba2HfSeS3 | the Alexandria database | PBE | optimized geometry
data_Ba2HfSeS3
_chemical_formula_sum 'Ba4 Hf2 Se2 S6'
_symmetry_space_group_name_H-M 'P 1'
_symmetry_Int_Tables_number 1
_cell_length_a 4.9717
_cell_length_b 5.1824
_cell_length_c 15.8666
_cell_angle_alpha 90.00
_cell_angle_beta 90.00
_cell_angle_gamma 90.00
loop_
_symmetry_equiv_pos_as_xyz
'x,y,z'
loop_
_atom_site_label
_atom_site_type_symbol
_atom_site_fract_x
_atom_site_fract_y
_atom_site_fract_z
Ba1 Ba 0.0000 0.0000 0.1441
Ba2 Ba 0.0000 0.0000 0.8559
Ba3 Ba 0.5000 0.5000 0.3559
Ba4 Ba 0.5000 0.5000 0.6441
Hf1 Hf 0.0000 0.0000 0.5000
Hf2 Hf 0.5000 0.5000 0.0000
Se1 Se 0.0000 0.5000 0.5000
Se2 Se 0.5000 0.0000 0.0000
S1 S 0.0000 0.0000 0.3383
S2 S 0.0000 0.0000 0.6617
S3 S 0.0000 0.5000 0.0000
S4 S 0.5000 0.0000 0.5000
S5 S 0.5000 0.5000 0.1617
S6 S 0.5000 0.5000 0.8383
# Space-group type: Immm
# Raw formation energy: -1839 meV/atom

***

Record 2
# Ba2HfSe2S2 | the Alexandria database | PBE | optimized geometry
data_Ba2HfSe2S2
_chemical_formula_sum 'Ba4 Hf2 Se4 S4'
_symmetry_space_group_name_H-M 'P 1'
_symmetry_Int_Tables_number 1
_cell_length_a 4.9806
_cell_length_b 4.9806
_cell_length_c 16.5375
_cell_angle_alpha 90.00
_cell_angle_beta 90.00
_cell_angle_gamma 90.00
loop_
_symmetry_equiv_pos_as_xyz
'x,y,z'
loop_
_atom_site_label
_atom_site_type_symbol
_atom_site_fract_x
_atom_site_fract_y
_atom_site_fract_z
Ba1 Ba 0.0000 0.0000 0.1390
Ba2 Ba 0.0000 0.0000 0.8610
Ba3 Ba 0.5000 0.5000 0.3610
Ba4 Ba 0.5000 0.5000 0.6390
Hf1 Hf 0.0000 0.0000 0.5000
Hf2 Hf 0.5000 0.5000 0.0000
Se1 Se 0.0000 0.0000 0.3363
Se2 Se 0.0000 0.0000 0.6637
Se3 Se 0.5000 0.5000 0.1637
Se4 Se 0.5000 0.5000 0.8363
S1 S 0.0000 0.5000 0.0000
S2 S 0.0000 0.5000 0.5000
S3 S 0.5000 0.0000 0.0000
S4 S 0.5000 0.0000 0.5000
# Space-group type: I4/mmm
# Raw formation energy: -1895 meV/atom

***

Record 3
# BaHfSe2S | the Alexandria database | PBE | optimized geometry
data_BaHfSe2S
_chemical_formula_sum 'Ba1 Hf1 Se2 S1'
_symmetry_space_group_name_H-M 'P 1'
_symmetry_Int_Tables_number 1
_cell_length_a 5.2791
_cell_length_b 5.2791
_cell_length_c 4.9641
_cell_angle_alpha 90.00
_cell_angle_beta 90.00
_cell_angle_gamma 90.00
loop_
_symmetry_equiv_pos_as_xyz
'x,y,z'
loop_
_atom_site_label
_atom_site_type_symbol
_atom_site_fract_x
_atom_site_fract_y
_atom_site_fract_z
Ba1 Ba 0.0000 0.0000 0.0000
Hf1 Hf 0.5000 0.5000 0.5000
Se1 Se 0.0000 0.5000 0.5000
Se2 Se 0.5000 0.0000 0.5000
S1 S 0.5000 0.5000 0.0000
# Space-group type: P4/mmm
# Raw formation energy: -1654 meV/atom
# Fermi-level density of states: 0.1 states/eV/cell

***

Record 4
# BaHf2SeS | the Alexandria database | PBE | optimized geometry
data_BaHf2SeS
_chemical_formula_sum 'Ba1 Hf2 Se1 S1'
_symmetry_space_group_name_H-M 'P 1'
_symmetry_Int_Tables_number 1
_cell_length_a 4.7326
_cell_length_b 4.7326
_cell_length_c 7.0151
_cell_angle_alpha 90.00
_cell_angle_beta 90.00
_cell_angle_gamma 90.00
loop_
_symmetry_equiv_pos_as_xyz
'x,y,z'
loop_
_atom_site_label
_atom_site_type_symbol
_atom_site_fract_x
_atom_site_fract_y
_atom_site_fract_z
Ba1 Ba 0.0000 0.0000 0.0000
Hf1 Hf 0.0000 0.5000 0.5000
Hf2 Hf 0.5000 0.0000 0.5000
Se1 Se 0.5000 0.5000 0.0000
S1 S 0.5000 0.5000 0.5000
# Space-group type: P4/mmm
# Raw formation energy: -271 meV/atom
# Fermi-level density of states: 5.1 states/eV/cell

***

> What is the formula in the third record?

BaHfSe2S